The following is a DFT calculation (PBE) of a relaxed structure of InSiW2.

Cell: 2.8799 2.8799 8.5501 Å, 90.00 90.00 110.12°
Closest atoms and distances in Å follow each position.
Sites, in units of the cell vectors:
In: 0.5000 0.5000 0.2500  4 In 2.88, 4 W 2.90
Si: 0.5000 0.5000 0.7500  4 W 2.51
W: 0.0000 0.0000 0.9706  2 Si 2.51
W: 0.0000 0.0000 0.5294  2 Si 2.51

Summary:
symmetry = Cmmm, No. 65
E above lowest polymorph = 208.4 meV per atom
calculated total energy = -8.0963 eV per atom

=====

The following is a DFT calculation (PBE) of a relaxed structure of InSi2W.

Cell: 4.5784 4.5784 4.5784 Å, 60.00 60.00 60.00°
Closest atoms and distances in Å follow each position.
Sites, in units of the cell vectors:
In: 0.5000 0.5000 0.5000  4 Si 2.80, 4 W 2.80
Si: 0.0000 0.0000 0.0000  4 W 2.80, 4 Si 2.80
Si: 0.7500 0.7500 0.7500  4 In 2.80, 4 Si 2.80
W: 0.2500 0.2500 0.2500  4 In 2.80, 4 Si 2.80

Summary:
symmetry = F-43m, No. 216
calculated total energy = -5.7314 eV per atom

=====

Number 1: formation energy without anion corrections 421 meV/atom. Number 2: formation energy without anion corrections 903 meV/atom.